Density functional theory data (PBE-GGA) for crystalline MnAgSb at its relaxed geometry.

Cell lengths 4.3899, 4.3899, 3.6726 Å; angles 90.00, 90.00, 120.00 degrees
Space group P3m1 (No. 156)
Inequivalent atoms, fractional coordinates:
1 Mn 0.0000 0.0000 0.0000 [1 per cell]
2 Ag 0.3333 0.6667 0.6886 [1 per cell]
3 Sb 0.6667 0.3333 0.3043 [1 per cell]

## Properties
D(E_F) in states/eV per atom: 0.577
Total magnetization in μB/f.u.: 3.797
ΔE_f (raw) in eV per atom: 0.298